Entry 1:
# In2CoCuOs

A relaxed structure of In2CoCuOs (GGA-PBEsol, Alexandria via LeMat-Bulk).

Geometry as extended XYZ:
```
5
Lattice="5.019 0.000 0.000 0.000 5.019 0.000 0.000 0.000 4.628" Properties=species:S:1:pos:R:3 pbc="T T T"
In 0.000 2.509 0.000
In 2.509 0.000 0.000
Co 0.000 0.000 2.314
Cu 2.509 2.509 2.314
Os 2.509 2.509 0.000
```

Computed properties:
* ΔH_f (0 K): 1.390 eV/atom
* density: 7.7 g/cm3
* M_tot: 2.675 Bohr magnetons per cell
* space-group type: P4/mmm

Entry 2:
# Co2CuIr

A relaxed structure of Co2CuIr (GGA-PBEsol, Alexandria via LeMat-Bulk).

Geometry as extended XYZ:
```
4
Lattice="2.587 0.000 0.000 0.000 4.120 0.000 0.000 0.000 4.388" Properties=species:S:1:pos:R:3 pbc="T T T"
Co 0.000 0.000 0.000
Co 0.000 2.060 1.464
Cu 1.293 2.060 3.712
Ir 1.293 0.000 2.187
```

Computed properties:
* ΔH_f (0 K): 0.107 eV/atom
* density: 13.3 g/cm3
* M_tot: 3.424 Bohr magnetons per cell
* space-group type: Pmm2

These records have total DFT energy (no corrections) values of -4.66, -7.30 eV/atom, in the order they appear.